Material: Rb2CeCl5
Method: DFT, meta-GGA SCAN
State: PBEsol geometry

Lattice parameters (Å, degrees): 13.071 8.854 8.164 90.00 90.00 90.00
Space group Pnma (No. 62)
Symmetry-distinct sites (fractional):
Rb: 0.171 0.005 0.053
Ce: 0.004 0.250 0.571
Cl: 0.010 0.250 0.911
Cl: 0.075 0.542 0.662
Cl: 0.177 0.250 0.376
Cl: 0.200 0.750 0.341

Results
Total magnetic moment (μB/f.u.): 1.0
Calculated total energy (eV/atom): -18.170
Raw formation energy (eV/atom): -2.428
V (Å³ per cell): 945



Material: SrLaZr
Method: DFT, meta-GGA SCAN
State: PBEsol geometry

Lattice parameters (Å, degrees): 7.583 7.583 7.583 90.00 90.00 90.00
Space group F-43m (No. 216)
Symmetry-distinct sites (fractional):
Sr: 0.000 0.000 0.000
La: 0.250 0.250 0.250
Zr: 0.250 0.250 0.750

Results
Total magnetic moment (μB/f.u.): 0.0
Calculated total energy (eV/atom): -30.719
V (Å³ per cell): 436
Calculated formation energy (meV/atom): 1308



Material: ReSi2Au
Method: DFT, meta-GGA SCAN
State: PBEsol geometry

Lattice parameters (Å, degrees): 3.134 3.134 5.772 90.00 90.00 90.00
Space group P4/mmm (No. 123)
Symmetry-distinct sites (fractional):
Re: 0.000 0.000 0.000
Si: 0.500 0.500 0.229
Au: 0.000 0.000 0.500

Results
Total magnetic moment (μB/f.u.): 0.0
Calculated total energy (eV/atom): -40.035
Raw formation energy (eV/atom): 0.037
Energy above the lowest structure with this stoichiometry (eV/atom): 0.000
V (Å³ per cell): 57



Material: SrAlPCl2
Method: DFT, meta-GGA SCAN
State: PBEsol geometry

Lattice parameters (Å, degrees): 4.803 4.803 4.782 90.00 90.00 90.00
Space group P4/mmm (No. 123)
Symmetry-distinct sites (fractional):
Sr: 0.000 0.000 0.000
Al: 0.500 0.500 0.500
P: 0.500 0.500 0.000
Cl: 0.000 0.500 0.500

Results
Total magnetic moment (μB/f.u.): 0.0
Calculated total energy (eV/atom): -12.532
Raw formation energy (eV/atom): -1.256
V (Å³ per cell): 110